1.
Computed, not measured: an optimized crystal structure of LiY2ThSe4 at the GGA-PBE level of DFT.

Calculated values
- Formation energy (no corrections): -1.660 eV per atom

a = 7.0687 Å, b = 4.0716 Å, c = 7.1500 Å
α = 90.00°, β = 108.84°, γ = 90.00°
With the nearest neighbours (Å) after each atom.
Atoms (fractional coordinates):
Li 0.0000 0.0000 0.0000  6 Se 2.81-2.87
Y 0.5000 0.0000 0.5000  6 Se 2.94-2.97
Y 0.5000 0.5000 0.0000  6 Se 2.86
Th 0.0000 0.5000 0.5000  6 Se 2.93-2.95
Se 0.2474 0.5000 0.2413  3 Y 2.86-2.94, 2 Li 2.87, 1 Th 2.93
Se 0.2511 0.0000 0.7650  1 Li 2.81, 3 Y 2.86-2.97, 2 Th 2.95
Se 0.7489 0.0000 0.2350  1 Li 2.81, 3 Y 2.86-2.97, 2 Th 2.95
Se 0.7526 0.5000 0.7587  3 Y 2.86-2.94, 2 Li 2.87, 1 Th 2.93

---

2.
Computed, not measured: an optimized crystal structure of ZrMo2W at the GGA-PBE level of DFT.

Calculated values
- Distance to the lowest polymorph of the same formula: 374 meV per atom
- E_form: 0.35 eV/atom

a = 3.0376 Å, b = 3.0376 Å, c = 26.6136 Å
α = 90.00°, β = 90.00°, γ = 120.00°
With the nearest neighbours (Å) after each atom.
Atoms (fractional coordinates):
Zr 0.0000 0.0000 0.0000  3 Mo 2.95, 3 W 2.97, 6 Zr 3.04
Zr 0.3333 0.6667 0.6667  3 Mo 2.95, 3 W 2.97, 6 Zr 3.04
Zr 0.6667 0.3333 0.3333  3 Mo 2.95, 3 W 2.97, 6 Zr 3.04
Mo 0.0000 0.0000 0.4984  3 Mo 2.68, 3 W 2.72
Mo 0.0000 0.0000 0.7558  3 Mo 2.68, 3 Zr 2.95
Mo 0.3333 0.6667 0.1651  3 Mo 2.68, 3 W 2.72
Mo 0.3333 0.6667 0.4224  3 Mo 2.68, 3 Zr 2.95
Mo 0.6667 0.3333 0.0891  3 Mo 2.68, 3 Zr 2.95
Mo 0.6667 0.3333 0.8318  3 Mo 2.68, 3 W 2.72
W 0.0000 0.0000 0.2433  3 Mo 2.72, 3 Zr 2.97, 6 W 3.04
W 0.3333 0.6667 0.9099  3 Mo 2.72, 3 Zr 2.97, 6 W 3.04
W 0.6667 0.3333 0.5766  3 Mo 2.72, 3 Zr 2.97, 6 W 3.04

---

3.
Computed, not measured: an optimized crystal structure of PrSi2Rh8 at the GGA-PBE level of DFT.

Calculated values
- Formation energy (no corrections): 0.053 eV per atom

a = 5.7272 Å, b = 5.7272 Å, c = 5.9313 Å
α = 90.00°, β = 90.00°, γ = 90.00°
With the nearest neighbours (Å) after each atom.
Atoms (fractional coordinates):
Pr 0.0000 0.0000 0.0000  8 Rh 2.71
Si 0.0000 0.5000 0.5000  8 Rh 2.45
Si 0.5000 0.0000 0.5000  8 Rh 2.45
Rh 0.2703 0.2703 0.2706  2 Si 2.45, 3 Rh 2.63-2.72, 1 Pr 2.71
Rh 0.2703 0.2703 0.7294  2 Si 2.45, 3 Rh 2.63-2.72, 1 Pr 2.71
Rh 0.2703 0.7297 0.2706  2 Si 2.45, 3 Rh 2.63-2.72, 1 Pr 2.71
Rh 0.2703 0.7297 0.7294  2 Si 2.45, 3 Rh 2.63-2.72, 1 Pr 2.71
Rh 0.7297 0.2703 0.2706  2 Si 2.45, 3 Rh 2.63-2.72, 1 Pr 2.71
Rh 0.7297 0.2703 0.7294  2 Si 2.45, 3 Rh 2.63-2.72, 1 Pr 2.71
Rh 0.7297 0.7297 0.2706  2 Si 2.45, 3 Rh 2.63-2.72, 1 Pr 2.71
Rh 0.7297 0.7297 0.7294  2 Si 2.45, 3 Rh 2.63-2.72, 1 Pr 2.71

---

4.
Computed, not measured: an optimized crystal structure of H2IF4 at the GGA-PBE level of DFT.

Calculated values
- Energy: -3.601 eV/atom

a = 5.9003 Å, b = 6.3472 Å, c = 7.2315 Å
α = 103.43°, β = 100.09°, γ = 113.08°
With the nearest neighbours (Å) after each atom.
Atoms (fractional coordinates):
H 0.0000 0.0000 0.0000  1 F 1.05
H 0.0463 0.4791 0.8002  1 F 0.96
H 0.1296 0.5481 0.4255  1 F 0.96
H 0.5656 0.4402 0.4791  1 F 0.99
I 0.2977 0.1113 0.7098  3 F 1.98-2.02
I 0.7070 0.7596 0.2237  1 F 2.06
F 0.0206 0.3908 0.3277  1 H 0.96
F 0.1934 0.0753 0.9995  1 H 1.05
F 0.2822 0.4313 0.7704  1 H 1.58
F 0.3286 0.8064 0.5965  1 H 1.62
F 0.3980 0.1892 0.4776  1 H 1.51
F 0.6704 0.6103 0.4906  1 H 0.99
F 0.7629 0.9117 0.0036  1 H 1.29
F 0.9035 0.5115 0.8169  1 H 0.96

---

5.
Computed, not measured: an optimized crystal structure of TaHgBI2 at the GGA-PBE level of DFT.

Calculated values
- Formation energy (no corrections): 0.678 eV per atom

a = 5.6773 Å, b = 5.6773 Å, c = 4.3649 Å
α = 90.00°, β = 90.00°, γ = 90.00°
With the nearest neighbours (Å) after each atom.
Atoms (fractional coordinates):
Ta 0.0000 0.0000 0.0000  2 B 2.18
Hg 0.5000 0.5000 0.5000  8 I 3.58
B 0.0000 0.0000 0.5000  2 Ta 2.18
I 0.0000 0.5000 0.0000  2 Ta 2.84
I 0.5000 0.0000 0.0000  2 Ta 2.84

---

6.
Computed, not measured: an optimized crystal structure of Er2BeGa2Ni5 at the GGA-PBE level of DFT.

Calculated values
- E_form: -0.29 eV/atom

a = 9.7712 Å, b = 9.7712 Å, c = 3.0337 Å
α = 90.00°, β = 90.00°, γ = 90.00°
With the nearest neighbours (Å) after each atom.
Atoms (fractional coordinates):
Er 0.1716 0.3284 0.0000  3 Ga 2.72-2.99, 6 Ni 2.81-3.00, 2 Er 3.03
Er 0.3284 0.8284 0.0000  3 Ga 2.72-2.99, 6 Ni 2.81-3.00, 2 Er 3.03
Er 0.6716 0.1716 0.0000  3 Ga 2.72-2.99, 6 Ni 2.81-3.00, 2 Er 3.03
Er 0.8284 0.6716 0.0000  3 Ga 2.72-2.99, 6 Ni 2.81-3.00, 2 Er 3.03
Be 0.0000 0.0000 0.0000  8 Ni 2.39
Be 0.5000 0.5000 0.0000  8 Ni 2.39
Ga 0.1316 0.6316 0.0000  6 Ni 2.37-2.50
Ga 0.3684 0.1316 0.0000  6 Ni 2.37-2.50
Ga 0.6316 0.8684 0.0000  6 Ni 2.37-2.50
Ga 0.8684 0.3684 0.0000  6 Ni 2.37-2.50
Ni 0.0000 0.5000 0.5000  4 Ga 2.37
Ni 0.0499 0.8177 0.5000  2 Be 2.39, 2 Ga 2.50, 2 Ni 2.61
Ni 0.1823 0.0499 0.5000  2 Be 2.39, 2 Ga 2.50, 2 Ni 2.61
Ni 0.3177 0.5499 0.5000  2 Be 2.39, 2 Ga 2.50, 2 Ni 2.61
Ni 0.4501 0.3177 0.5000  2 Be 2.39, 2 Ga 2.50, 2 Ni 2.61
Ni 0.5000 0.0000 0.5000  4 Ga 2.37
Ni 0.5499 0.6823 0.5000  2 Be 2.39, 2 Ga 2.50, 2 Ni 2.61
Ni 0.6823 0.4501 0.5000  2 Be 2.39, 2 Ga 2.50, 2 Ni 2.61
Ni 0.8177 0.9501 0.5000  2 Be 2.39, 2 Ga 2.50, 2 Ni 2.61
Ni 0.9501 0.1823 0.5000  2 Be 2.39, 2 Ga 2.50, 2 Ni 2.61

---

7.
Computed, not measured: an optimized crystal structure of YTa2Sb at the GGA-PBE level of DFT.

Calculated values
- Formation energy (no corrections): 0.145 eV per atom

a = 3.3749 Å, b = 3.3749 Å, c = 27.8321 Å
α = 90.00°, β = 90.00°, γ = 120.00°
With the nearest neighbours (Å) after each atom.
Atoms (fractional coordinates):
Y 0.0000 0.0000 0.0000  3 Ta 3.19, 3 Sb 3.28, 6 Y 3.37
Y 0.3333 0.6667 0.6667  3 Ta 3.19, 3 Sb 3.28, 6 Y 3.37
Y 0.6667 0.3333 0.3333  3 Ta 3.19, 3 Sb 3.28, 6 Y 3.37
Ta 0.0000 0.0000 0.4954  3 Ta 2.78, 3 Sb 2.89
Ta 0.0000 0.0000 0.7575  3 Ta 2.78
Ta 0.3333 0.6667 0.1621  3 Ta 2.78, 3 Sb 2.89
Ta 0.3333 0.6667 0.4242  3 Ta 2.78
Ta 0.6667 0.3333 0.0909  3 Ta 2.78
Ta 0.6667 0.3333 0.8287  3 Ta 2.78, 3 Sb 2.89
Sb 0.0000 0.0000 0.2387  3 Ta 2.89
Sb 0.3333 0.6667 0.9053  3 Ta 2.89
Sb 0.6667 0.3333 0.5720  3 Ta 2.89

---

8.
Computed, not measured: an optimized crystal structure of PuAl11Zn at the GGA-PBE level of DFT.

Calculated values
- E_form: -0.06 eV/atom

a = 6.9525 Å, b = 6.9525 Å, c = 7.0467 Å
α = 97.79°, β = 97.79°, γ = 134.77°
With the nearest neighbours (Å) after each atom.
Atoms (fractional coordinates):
Pu 0.0000 0.0000 0.0000  18 Al 3.26-3.52, 2 Zn 3.60
Al 0.0000 0.0000 0.5000  2 Zn 2.67, 8 Al 2.71-2.79
Al 0.0000 0.5000 0.0000  10 Al 2.67-2.84
Al 0.0112 0.6545 0.6478  8 Al 2.68-2.99, 1 Zn 2.86
Al 0.2873 0.5019 0.7828  1 Zn 2.64, 7 Al 2.67-2.96
Al 0.3455 0.9888 0.3522  8 Al 2.68-2.99, 1 Zn 2.86
Al 0.4981 0.7127 0.2172  1 Zn 2.64, 7 Al 2.67-2.96
Al 0.5000 0.0000 0.0000  10 Al 2.67-2.84
Al 0.5019 0.2873 0.7828  1 Zn 2.64, 7 Al 2.67-2.96
Al 0.6545 0.0112 0.6478  8 Al 2.68-2.99, 1 Zn 2.86
Al 0.7127 0.4981 0.2172  1 Zn 2.64, 7 Al 2.67-2.96
Al 0.9888 0.3455 0.3522  8 Al 2.68-2.99, 1 Zn 2.86
Zn 0.5000 0.5000 0.5000  10 Al 2.64-2.86

---

9.
Computed, not measured: an optimized crystal structure of KBaSc2 at the GGA-PBE level of DFT.

Calculated values
- Distance to the lowest polymorph of the same formula: 440 meV per atom
- E_form: 0.78 eV/atom

a = 4.7217 Å, b = 4.7217 Å, c = 26.2826 Å
α = 90.00°, β = 90.00°, γ = 90.00°
With the nearest neighbours (Å) after each atom.
Atoms (fractional coordinates):
K 0.0000 0.0000 0.0000  4 Ba 3.34, 4 Sc 3.69
K 0.0000 0.5000 0.2500  4 Ba 3.34, 4 Sc 3.69
K 0.5000 0.0000 0.7500  4 Ba 3.34, 4 Sc 3.69
K 0.5000 0.5000 0.5000  4 Ba 3.34, 4 Sc 3.69
Ba 0.0000 0.0000 0.5000  4 K 3.34, 4 Sc 3.68
Ba 0.0000 0.5000 0.7500  4 K 3.34, 4 Sc 3.68
Ba 0.5000 0.0000 0.2500  4 K 3.34, 4 Sc 3.68
Ba 0.5000 0.5000 0.0000  4 K 3.34, 4 Sc 3.68
Sc 0.2472 0.2500 0.6250  4 Sc 3.32-3.36, 2 Ba 3.68, 2 K 3.69
Sc 0.2500 0.7472 0.8750  4 Sc 3.32-3.36, 2 Ba 3.68, 2 K 3.69
Sc 0.2500 0.7528 0.3750  4 Sc 3.32-3.36, 2 Ba 3.68, 2 K 3.69
Sc 0.2528 0.2500 0.1250  4 Sc 3.32-3.36, 2 Ba 3.68, 2 K 3.69
Sc 0.7472 0.7500 0.1250  4 Sc 3.32-3.36, 2 Ba 3.68, 2 K 3.69
Sc 0.7500 0.2472 0.3750  4 Sc 3.32-3.36, 2 Ba 3.68, 2 K 3.69
Sc 0.7500 0.2528 0.8750  4 Sc 3.32-3.36, 2 Ba 3.68, 2 K 3.69
Sc 0.7528 0.7500 0.6250  4 Sc 3.32-3.36, 2 Ba 3.68, 2 K 3.69

---

10.
Computed, not measured: an optimized crystal structure of Cs2TlSiRu at the GGA-PBE level of DFT.

Calculated values
- Formation energy (no corrections): 1.238 eV per atom

a = 7.1986 Å, b = 7.1986 Å, c = 5.1912 Å
α = 90.00°, β = 90.00°, γ = 90.00°
With the nearest neighbours (Å) after each atom.
Atoms (fractional coordinates):
Cs 0.0000 0.5000 0.0000  2 Tl 3.60
Cs 0.5000 0.0000 0.0000  2 Tl 3.60
Tl 0.0000 0.0000 0.0000  2 Ru 2.60
Si 0.5000 0.5000 0.5000  8 Cs 4.44
Ru 0.0000 0.0000 0.5000  2 Tl 2.60

---

11.
Computed, not measured: an optimized crystal structure of Ga4Fe at the GGA-PBE level of DFT.

Calculated values
- Distance to the lowest polymorph of the same formula: 0 meV per atom
- E_form: -0.14 eV/atom

a = 5.5924 Å, b = 5.5924 Å, c = 5.5924 Å
α = 90.00°, β = 90.00°, γ = 90.00°
With the nearest neighbours (Å) after each atom.
Atoms (fractional coordinates):
Ga 0.2500 0.2500 0.2500  2 Fe 2.42
Ga 0.2500 0.2500 0.7500  2 Fe 2.42
Ga 0.2500 0.7500 0.2500  2 Fe 2.42
Ga 0.2500 0.7500 0.7500  2 Fe 2.42
Ga 0.7500 0.2500 0.2500  2 Fe 2.42
Ga 0.7500 0.2500 0.7500  2 Fe 2.42
Ga 0.7500 0.7500 0.2500  2 Fe 2.42
Ga 0.7500 0.7500 0.7500  2 Fe 2.42
Fe 0.0000 0.0000 0.0000  8 Ga 2.42
Fe 0.5000 0.5000 0.5000  8 Ga 2.42

---

12.
Computed, not measured: an optimized crystal structure of Pr3Y6In at the GGA-PBE level of DFT.

Calculated values
- E_form: 0.00 eV/atom

a = 11.1158 Å, b = 11.1158 Å, c = 6.2409 Å
α = 90.00°, β = 90.00°, γ = 121.00°
With the nearest neighbours (Å) after each atom.
Atoms (fractional coordinates):
Pr 0.1071 0.8929 0.5000  1 In 3.22, 3 Y 3.43-3.45
Pr 0.2234 0.4497 0.1303  5 Y 3.32-3.72, 1 In 3.35, 1 Pr 3.58
Pr 0.4497 0.2234 0.6303  5 Y 3.32-3.72, 1 In 3.35, 1 Pr 3.58
Pr 0.5503 0.7766 0.1303  5 Y 3.32-3.72, 1 In 3.35, 1 Pr 3.58
Pr 0.7766 0.5503 0.6303  5 Y 3.32-3.72, 1 In 3.35, 1 Pr 3.58
Pr 0.8929 0.1071 0.0000  1 In 3.22, 3 Y 3.43-3.45
Y 0.0567 0.4631 0.6774  2 In 3.17-3.44, 3 Y 3.30-3.40, 1 Pr 3.42
Y 0.1185 0.2085 0.5135  4 Pr 3.32-3.72, 4 Y 3.40-3.58
Y 0.2085 0.1185 0.0135  4 Pr 3.32-3.72, 4 Y 3.40-3.58
Y 0.2224 0.7776 0.9168  2 In 3.19-3.32, 4 Y 3.30-3.35, 1 Pr 3.43
Y 0.4378 0.5622 0.6339  1 In 3.53, 6 Pr 3.71-3.84, 6 Y 3.77-3.94
Y 0.4631 0.0567 0.1774  2 In 3.17-3.44, 3 Y 3.30-3.40, 1 Pr 3.42
Y 0.5369 0.9433 0.6774  2 In 3.17-3.44, 3 Y 3.30-3.40, 1 Pr 3.42
Y 0.5622 0.4378 0.1339  1 In 3.53, 6 Pr 3.71-3.84, 6 Y 3.77-3.94
Y 0.7776 0.2224 0.4168  2 In 3.19-3.32, 4 Y 3.30-3.35, 1 Pr 3.43
Y 0.7915 0.8815 0.5135  4 Pr 3.32-3.72, 4 Y 3.40-3.58
Y 0.8815 0.7915 0.0135  4 Pr 3.32-3.72, 4 Y 3.40-3.58
Y 0.9433 0.5369 0.1774  2 In 3.17-3.44, 3 Y 3.30-3.40, 1 Pr 3.42
In 0.2706 0.7294 0.4061  7 Y 3.17-3.53, 3 Pr 3.22-3.35
In 0.7294 0.2706 0.9061  7 Y 3.17-3.53, 3 Pr 3.22-3.35

---

Number 1: total magnetization 0.00 μB per formula unit. Number 2: total magnetization 0.00 μB per formula unit. Number 3: total magnetization 0.00 μB per formula unit. Number 4: total magnetization 0.05 μB per formula unit. Number 5: total magnetization 0.00 μB per formula unit. Number 6: total magnetization 0.00 μB per formula unit. Number 7: total magnetization 0.00 μB per formula unit. Number 8: total magnetization 5.24 μB per formula unit. Number 9: total magnetization 1.13 μB per formula unit. Number 10: total magnetization 3.98 μB per formula unit. Number 11: total magnetization 1.56 μB per formula unit. Number 12: total magnetization 0.00 μB per formula unit.